## LaHg3F (PBE)

Data for a relaxed structure of LaHg3F.

## Properties
Formation energy without anion corrections = -0.514 eV per atom
Spin magnetization = 0.0 μB/cell
Electronic total energy = -2.05 eV per atom

Structure (CIF):
```
data_LaHg3F
_chemical_formula_sum 'La1 Hg3 F1'
_space_group_name_H-M_alt 'P m -3 m'
_space_group_IT_number 221
_space_group_name_Hall '-P 4 2 3'
_cell_length_a 5.103
_cell_length_b 5.103
_cell_length_c 5.103
_cell_angle_alpha 90.00
_cell_angle_beta 90.00
_cell_angle_gamma 90.00
loop_
_atom_site_label
_atom_site_type_symbol
_atom_site_fract_x
_atom_site_fract_y
_atom_site_fract_z
_atom_site_occupancy
La1 La 0.000 0.000 0.000 1
Hg1 Hg 0.000 0.500 0.500 1
F1 F 0.500 0.500 0.500 1
```

## Cu4TeSe2S (PBE)

Data for a relaxed structure of Cu4TeSe2S.

## Properties
Formation energy without anion corrections = -0.129 eV per atom
Spin magnetization = 0.0 μB/cell
Electronic total energy = -3.96 eV per atom

Structure (CIF):
```
data_Cu4TeSe2S
_chemical_formula_sum 'Cu8 Te2 Se4 S2'
_space_group_name_H-M_alt 'I -4'
_space_group_IT_number 82
_cell_length_a 5.480
_cell_length_b 5.480
_cell_length_c 11.183
_cell_angle_alpha 90.00
_cell_angle_beta 90.00
_cell_angle_gamma 90.00
loop_
_space_group_symop_operation_xyz
'x,y,z'
'y,-x,-z'
'-x,-y,z'
'-y,x,-z'
'x+1/2,y+1/2,z+1/2'
'y+1/2,-x+1/2,-z+1/2'
'-x+1/2,-y+1/2,z+1/2'
'-y+1/2,x+1/2,-z+1/2'
loop_
_atom_site_label
_atom_site_type_symbol
_atom_site_fract_x
_atom_site_fract_y
_atom_site_fract_z
_atom_site_occupancy
Cu1 Cu 0.225 0.253 0.113 1
Te1 Te 0.000 0.500 0.750 1
Se1 Se 0.000 0.000 0.500 1
Se2 Se 0.000 0.500 0.250 1
S1 S 0.000 0.000 0.000 1
```

## Hf2Tc2Mo (PBE)

Data for a relaxed structure of Hf2Tc2Mo.

## Properties
Spin magnetization = 0.0 μB/cell
Formation energy from the elements = -58 meV/atom
Electronic total energy = -10.35 eV per atom

Structure (CIF):
```
data_Hf2Tc2Mo
_chemical_formula_sum 'Hf4 Tc4 Mo2'
_space_group_name_H-M_alt 'P 4/m b m'
_space_group_IT_number 127
_space_group_name_Hall '-P 4 2ab'
_cell_length_a 6.472
_cell_length_b 6.472
_cell_length_c 4.426
_cell_angle_alpha 90.00
_cell_angle_beta 90.00
_cell_angle_gamma 90.00
loop_
_atom_site_label
_atom_site_type_symbol
_atom_site_fract_x
_atom_site_fract_y
_atom_site_fract_z
_atom_site_occupancy
Hf1 Hf 0.179 0.321 0.000 1
Tc1 Tc 0.138 0.638 0.500 1
Mo1 Mo 0.000 0.000 0.500 1
```

## CsScTl2Ir (PBE)

Data for a relaxed structure of CsScTl2Ir.

## Properties
Spin magnetization = 0.1 μB/cell
Formation energy from the elements = 1443 meV/atom
Electronic total energy = -2.71 eV per atom

Structure (CIF):
```
data_CsScTl2Ir
_chemical_formula_sum 'Cs1 Sc1 Tl2 Ir1'
_space_group_name_H-M_alt 'P 4/m m m'
_space_group_IT_number 123
_space_group_name_Hall '-P 4 2'
_cell_length_a 5.530
_cell_length_b 5.530
_cell_length_c 6.053
_cell_angle_alpha 90.00
_cell_angle_beta 90.00
_cell_angle_gamma 90.00
loop_
_atom_site_label
_atom_site_type_symbol
_atom_site_fract_x
_atom_site_fract_y
_atom_site_fract_z
_atom_site_occupancy
Cs1 Cs 0.000 0.000 0.000 1
Sc1 Sc 0.000 0.000 0.500 1
Tl1 Tl 0.000 0.500 0.500 1
Ir1 Ir 0.500 0.500 0.000 1
```

## Nd3TlPd5 (PBE)

Data for a relaxed structure of Nd3TlPd5.

## Properties
Spin magnetization = 0.0 μB/cell
Formation energy from the elements = -433 meV/atom
Electronic total energy = -5.17 eV per atom

Structure (CIF):
```
data_Nd3TlPd5
_chemical_formula_sum 'Nd12 Tl4 Pd20'
_space_group_name_H-M_alt 'I 4/m c m'
_space_group_IT_number 140
_space_group_name_Hall '-I 4 2c'
_cell_length_a 8.437
_cell_length_b 8.437
_cell_length_c 11.764
_cell_angle_alpha 90.00
_cell_angle_beta 90.00
_cell_angle_gamma 90.00
loop_
_atom_site_label
_atom_site_type_symbol
_atom_site_fract_x
_atom_site_fract_y
_atom_site_fract_z
_atom_site_occupancy
Nd1 Nd 0.000 0.000 0.250 1
Nd2 Nd 0.128 0.372 0.000 1
Tl1 Tl 0.000 0.500 0.250 1
Pd1 Pd 0.000 0.000 0.000 1
Pd2 Pd 0.197 0.303 0.361 1
```

Question: What is the electronic total energy in the fifth record?
Answer: -5.17 eV per atom

What did the fourth record say?
## CsScTl2Ir (PBE)

Data for a relaxed structure of CsScTl2Ir.

## Properties
Spin magnetization = 0.1 μB/cell
Formation energy from the elements = 1443 meV/atom
Electronic total energy = -2.71 eV per atom

Structure (CIF):
```
data_CsScTl2Ir
_chemical_formula_sum 'Cs1 Sc1 Tl2 Ir1'
_space_group_name_H-M_alt 'P 4/m m m'
_space_group_IT_number 123
_space_group_name_Hall '-P 4 2'
_cell_length_a 5.530
_cell_length_b 5.530
_cell_length_c 6.053
_cell_angle_alpha 90.00
_cell_angle_beta 90.00
_cell_angle_gamma 90.00
loop_
_atom_site_label
_atom_site_type_symbol
_atom_site_fract_x
_atom_site_fract_y
_atom_site_fract_z
_atom_site_occupancy
Cs1 Cs 0.000 0.000 0.000 1
Sc1 Sc 0.000 0.000 0.500 1
Tl1 Tl 0.000 0.500 0.500 1
Ir1 Ir 0.500 0.500 0.000 1
```